VASP calculation (PBE) on a relaxed AsSBr2 crystal.

```
4
Lattice="0.170 -8.351 4.077 2.493 -6.536 6.120 -1.027 -6.295 6.761" Properties=species:S:1:pos:R:3 pbc="T T T"
As 0.817 -10.591 8.479
S 0.000 0.000 0.000
Br 1.487 -19.264 15.422
Br 0.148 -1.918 1.535
```

Properties
Space-group type ... R-3m, No. 166
Energy relative to the lowest polymorph listed for this composition ... 748 meV per atom
ΔE_f (raw) ... 2.19 eV/f.u.
N(E_F) ... 2.92 states/eV/cell